# 1
DFT (PBE) results for an optimized crystal structure of Ni3SbIr.

The value obtained for the energy relative to the elements, uncorrected is 0.992 eV per atom. As for the electronic total energy: -5.074 eV per atom. For the energy above the lowest structure with this stoichiometry, the calculation gives 0 meV/atom.

It has space group Pm-3m (No. 221), with a = 4.5563 Å, b = 4.5563 Å, c = 4.5563 Å, α = 90.00°, β = 90.00° and γ = 90.00°. The distinct sites, in fractional coordinates, are Ni at (0.0000, 0.0000, 0.5000), Sb at (0.5000, 0.5000, 0.5000) and Ir at (0.0000, 0.0000, 0.0000).

***

# 2
DFT (PBE) results for an optimized crystal structure of NiSbIr2.

The value obtained for the energy relative to the elements, uncorrected is 0.314 eV per atom. As for the electronic total energy: -6.592 eV per atom.

It has space group I-42d (No. 122), with a = 3.8839 Å, b = 3.8839 Å, c = 17.8661 Å, α = 90.00°, β = 90.00° and γ = 90.00°. The distinct sites, in fractional coordinates, are Ni at (0.0000, 0.0000, 0.0000), Sb at (0.0000, 0.0000, 0.5000) and Ir at (0.2098, 0.2500, 0.1250).

***

# 3
DFT (PBE) results for an optimized crystal structure of NiSbIr2.

The value obtained for the energy relative to the elements, uncorrected is 0.285 eV per atom. As for the electronic total energy: -6.622 eV per atom.

It has space group Pmmm (No. 47), with a = 2.8985 Å, b = 4.5872 Å, c = 4.6795 Å, α = 90.00°, β = 90.00° and γ = 90.00°. The distinct sites, in fractional coordinates, are Ni at (0.0000, 0.0000, 0.0000), Sb at (0.5000, 0.0000, 0.5000), Ir at (0.0000, 0.5000, 0.5000) and Ir at (0.5000, 0.5000, 0.0000).

***

# 4
DFT (PBE) results for an optimized crystal structure of NiSb2Ir.

The value obtained for the energy relative to the elements, uncorrected is 0.157 eV per atom. As for the electronic total energy: -5.565 eV per atom. For the energy above the lowest structure with this stoichiometry, the calculation gives 245 meV/atom.

It has space group Fm-3m (No. 225), with a = 6.5904 Å, b = 6.5904 Å, c = 6.5904 Å, α = 90.00°, β = 90.00° and γ = 90.00°. The distinct sites, in fractional coordinates, are Ni at (0.0000, 0.0000, 0.0000), Sb at (0.2500, 0.2500, 0.2500) and Ir at (0.0000, 0.0000, 0.5000).